No. 1
Entry from Alexandria: an optimized crystal structure of Ni2RuRh3 (PBE-GGA).

Calculated values
space-group type = Fddd (70)
final energy = -85.1 eV for the cell shown
M_tot = 0.46 Bohr magnetons per cell

Geometry as POSCAR:
```
Ni2RuRh3
1.0
0.000 3.784 7.897
2.644 0.000 7.897
2.644 3.784 0.000
Ni Ru Rh
4 2 6
Direct
0.041 0.041 0.709
0.291 0.291 0.959
0.709 0.709 0.041
0.959 0.959 0.291
0.375 0.375 0.375
0.625 0.625 0.625
0.125 0.125 0.125
0.206 0.206 0.544
0.456 0.456 0.794
0.544 0.544 0.206
0.794 0.794 0.456
0.875 0.875 0.875
```

=====

No. 2
Entry from Alexandria: an optimized crystal structure of NiRuRh2 (PBE-GGA).

Calculated values
space-group type = C2/m (12)
final energy = -57.0 eV for the cell shown
M_tot = 3.37 Bohr magnetons per cell

Geometry as POSCAR:
```
NiRuRh2
1.0
5.280 0.000 0.000
0.000 8.992 0.000
-1.295 0.000 2.332
Ni Ru Rh
2 2 4
Direct
0.000 0.000 0.000
0.500 0.500 0.000
0.000 0.500 0.000
0.500 0.000 0.000
0.250 0.250 0.500
0.250 0.750 0.500
0.750 0.250 0.500
0.750 0.750 0.500
```

=====

No. 3
Entry from Alexandria: an optimized crystal structure of Ni2RuRh (PBE-GGA).

Calculated values
space-group type = Pmm2 (25)
final energy = -27.9 eV for the cell shown
M_tot = 0.00 Bohr magnetons per cell

Geometry as POSCAR:
```
Ni2RuRh
1.0
2.658 0.000 0.000
0.000 3.685 0.000
0.000 0.000 5.142
Ni Ru Rh
2 1 1
Direct
0.000 0.000 0.000
0.500 0.500 0.235
0.500 0.500 0.750
0.000 0.000 0.495
```

=====

No. 4
Entry from Alexandria: an optimized crystal structure of Ni2RuRh (PBE-GGA).

Calculated values
space-group type = R3m (160)
final energy = -83.0 eV for the cell shown
M_tot = 2.39 Bohr magnetons per cell

Geometry as POSCAR:
```
Ni2RuRh
1.0
2.655 0.000 0.000
-1.327 2.299 0.000
0.000 0.000 25.085
Ni Ru Rh
6 3 3
Direct
0.000 0.000 0.000
0.000 0.000 0.255
0.333 0.667 0.667
0.333 0.667 0.921
0.667 0.333 0.333
0.667 0.333 0.588
0.000 0.000 0.505
0.333 0.667 0.172
0.667 0.333 0.838
0.000 0.000 0.751
0.333 0.667 0.418
0.667 0.333 0.085
```

=====

No. 5
Entry from Alexandria: an optimized crystal structure of NiRuRh2 (PBE-GGA).

Calculated values
space-group type = I-4m2 (119)
final energy = -58.9 eV for the cell shown
M_tot = 0.20 Bohr magnetons per cell

Geometry as POSCAR:
```
NiRuRh2
1.0
3.746 0.000 0.000
0.000 3.746 0.000
0.000 0.000 7.644
Ni Ru Rh
2 2 4
Direct
0.000 0.000 0.000
0.500 0.500 0.500
0.000 0.500 0.250
0.500 0.000 0.750
0.000 0.000 0.500
0.000 0.500 0.750
0.500 0.000 0.250
0.500 0.500 0.000
```

=====

No. 6
Entry from Alexandria: an optimized crystal structure of NiRuRh2 (PBE-GGA).

Calculated values
space-group type = Pmmm (47)
final energy = -28.6 eV for the cell shown
M_tot = 1.85 Bohr magnetons per cell

Geometry as POSCAR:
```
NiRuRh2
1.0
2.701 0.000 0.000
0.000 4.510 0.000
0.000 0.000 4.536
Ni Ru Rh
1 1 2
Direct
0.000 0.000 0.000
0.500 0.000 0.500
0.000 0.500 0.500
0.500 0.500 0.000
```

=====

No. 7
Entry from Alexandria: an optimized crystal structure of NiRuRh (PBE-GGA).

Calculated values
space-group type = C2 (5)
final energy = -89.0 eV for the cell shown
M_tot = 0.00 Bohr magnetons per cell

Geometry as POSCAR:
```
NiRuRh
1.0
7.954 0.000 0.000
0.000 4.586 0.000
-2.713 0.000 4.307
Ni Ru Rh
4 4 4
Direct
0.000 0.000 0.000
0.000 0.164 0.500
0.500 0.500 0.000
0.500 0.664 0.500
0.170 0.495 0.001
0.330 0.995 0.999
0.670 0.995 0.001
0.830 0.495 0.999
0.168 0.666 0.499
0.332 0.166 0.501
0.668 0.166 0.499
0.832 0.666 0.501
```

=====

No. 8
Entry from Alexandria: an optimized crystal structure of Ni6RuRh (PBE-GGA).

Calculated values
space-group type = Cmmm (65)
final energy = -202.4 eV for the cell shown
M_tot = 25.01 Bohr magnetons per cell

Geometry as POSCAR:
```
Ni6RuRh
1.0
3.616 -5.127 0.000
3.616 5.127 0.000
0.000 0.000 10.263
Ni Ru Rh
24 4 4
Direct
0.000 0.000 0.000
0.000 0.000 0.500
0.124 0.375 0.124
0.124 0.375 0.876
0.125 0.373 0.374
0.125 0.373 0.626
0.249 0.751 0.249
0.249 0.751 0.751
0.373 0.125 0.374
0.373 0.125 0.626
0.375 0.124 0.124
0.375 0.124 0.876
0.500 0.500 0.000
0.500 0.500 0.500
0.625 0.876 0.124
0.625 0.876 0.876
0.627 0.875 0.374
0.627 0.875 0.626
0.751 0.249 0.249
0.751 0.249 0.751
0.875 0.627 0.374
0.875 0.627 0.626
0.876 0.625 0.124
0.876 0.625 0.876
0.000 0.000 0.250
0.000 0.000 0.750
0.249 0.751 0.000
0.751 0.249 0.000
0.249 0.751 0.500
0.500 0.500 0.251
0.500 0.500 0.749
0.751 0.249 0.500
```

=====

No. 9
Entry from Alexandria: an optimized crystal structure of Ni2RuRh (PBE-GGA).

Calculated values
space-group type = F-43m (216)
final energy = -108.1 eV for the cell shown
M_tot = 6.37 Bohr magnetons per cell

Geometry as POSCAR:
```
Ni2RuRh
1.0
5.911 0.000 0.000
0.000 5.911 0.000
0.000 0.000 5.911
Ni Ru Rh
8 4 4
Direct
0.000 0.000 0.000
0.000 0.500 0.500
0.250 0.250 0.250
0.250 0.750 0.750
0.500 0.000 0.500
0.500 0.500 0.000
0.750 0.250 0.750
0.750 0.750 0.250
0.250 0.250 0.750
0.250 0.750 0.250
0.750 0.250 0.250
0.750 0.750 0.750
0.000 0.000 0.500
0.000 0.500 0.000
0.500 0.000 0.000
0.500 0.500 0.500
```

=====

No. 10
Entry from Alexandria: an optimized crystal structure of NiRuRh4 (PBE-GGA).

Calculated values
space-group type = C2/m (12)
final energy = -86.1 eV for the cell shown
M_tot = 0.00 Bohr magnetons per cell

Geometry as POSCAR:
```
NiRuRh4
1.0
5.163 0.000 0.000
0.000 7.288 0.000
-2.395 0.000 4.565
Ni Ru Rh
2 2 8
Direct
0.000 0.000 0.000
0.500 0.500 0.000
0.000 0.500 0.500
0.500 0.000 0.500
0.246 0.308 0.247
0.246 0.692 0.247
0.254 0.192 0.753
0.254 0.808 0.753
0.746 0.192 0.247
0.746 0.808 0.247
0.754 0.308 0.753
0.754 0.692 0.753
```

=====

No. 11
Entry from Alexandria: an optimized crystal structure of Ni2Ru3Rh2 (PBE-GGA).

Calculated values
space-group type = C2/m (12)
final energy = -105.8 eV for the cell shown
M_tot = 0.00 Bohr magnetons per cell

Geometry as POSCAR:
```
Ni2Ru3Rh2
1.0
11.880 0.000 0.000
0.000 2.668 0.000
-3.095 0.000 5.938
Ni Ru Rh
4 6 4
Direct
0.197 0.000 0.255
0.303 0.500 0.745
0.697 0.500 0.255
0.803 0.000 0.745
0.000 0.500 0.000
0.085 0.500 0.437
0.415 0.000 0.563
0.500 0.000 0.000
0.585 0.000 0.437
0.915 0.500 0.563
0.135 0.000 0.825
0.365 0.500 0.175
0.635 0.500 0.825
0.865 0.000 0.175
```

=====

No. 12
Entry from Alexandria: an optimized crystal structure of NiRuRh2 (PBE-GGA).

Calculated values
space-group type = Cm (8)
final energy = -59.0 eV for the cell shown
M_tot = 0.00 Bohr magnetons per cell

Geometry as POSCAR:
```
NiRuRh2
1.0
8.829 0.000 0.000
0.000 2.690 0.000
-0.832 0.000 4.529
Ni Ru Rh
2 2 4
Direct
0.000 0.000 0.000
0.500 0.500 0.000
0.247 0.500 0.250
0.747 0.000 0.250
0.252 0.000 0.762
0.498 0.000 0.489
0.752 0.500 0.762
0.998 0.500 0.489
```

=====

No. 13
Entry from Alexandria: an optimized crystal structure of Ni2RuRh (PBE-GGA).

Calculated values
space-group type = C2/m (12)
final energy = -55.5 eV for the cell shown
M_tot = 0.00 Bohr magnetons per cell

Geometry as POSCAR:
```
Ni2RuRh
1.0
8.487 0.000 0.000
0.000 2.638 0.000
-0.798 0.000 4.528
Ni Ru Rh
4 2 2
Direct
0.249 0.000 0.242
0.251 0.500 0.758
0.749 0.500 0.242
0.751 0.000 0.758
0.000 0.500 0.000
0.500 0.000 0.000
0.000 0.000 0.500
0.500 0.500 0.500
```

=====

No. 14
Entry from Alexandria: an optimized crystal structure of Ni6RuRh8 (PBE-GGA).

Calculated values
space-group type = P-3 (147)
final energy = -98.0 eV for the cell shown
M_tot = 4.71 Bohr magnetons per cell

Geometry as POSCAR:
```
Ni6RuRh8
1.0
6.992 0.000 0.000
-3.496 6.055 0.000
0.000 0.000 4.942
Ni Ru Rh
6 1 8
Direct
0.036 0.366 0.402
0.330 0.964 0.402
0.366 0.330 0.598
0.634 0.670 0.402
0.670 0.036 0.598
0.964 0.634 0.598
0.000 0.000 0.500
0.049 0.692 0.105
0.308 0.356 0.105
0.333 0.667 0.751
0.356 0.049 0.895
0.644 0.951 0.105
0.667 0.333 0.249
0.692 0.644 0.895
0.951 0.308 0.895
```

=====

No. 15
Entry from Alexandria: an optimized crystal structure of NiRuRh (PBE-GGA).

Calculated values
space-group type = C2/m (12)
final energy = -89.1 eV for the cell shown
M_tot = 0.00 Bohr magnetons per cell

Geometry as POSCAR:
```
NiRuRh
1.0
8.356 0.000 0.000
0.000 3.683 0.000
-1.776 0.000 5.102
Ni Ru Rh
4 4 4
Direct
0.000 0.000 0.000
0.000 0.000 0.500
0.500 0.500 0.000
0.500 0.500 0.500
0.169 0.500 0.338
0.331 0.000 0.662
0.669 0.000 0.338
0.831 0.500 0.662
0.164 0.500 0.831
0.336 0.000 0.169
0.664 0.000 0.831
0.836 0.500 0.169
```

=====

No. 16
Entry from Alexandria: an optimized crystal structure of NiRuRh2 (PBE-GGA).

Calculated values
space-group type = P4/mmm (123)
final energy = -29.6 eV for the cell shown
M_tot = 0.39 Bohr magnetons per cell

Geometry as POSCAR:
```
NiRuRh2
1.0
2.697 0.000 0.000
0.000 2.697 0.000
0.000 0.000 7.377
Ni Ru Rh
1 1 2
Direct
0.000 0.000 0.000
0.000 0.000 0.500
0.500 0.500 0.245
0.500 0.500 0.755
```

=====

No. 17
Entry from Alexandria: an optimized crystal structure of NiRuRh (PBE-GGA).

Calculated values
space-group type = C2/m (12)
final energy = -88.8 eV for the cell shown
M_tot = 2.88 Bohr magnetons per cell

Geometry as POSCAR:
```
NiRuRh
1.0
4.637 0.000 0.000
0.000 2.674 0.000
-0.016 0.000 12.814
Ni Ru Rh
4 4 4
Direct
0.166 0.000 0.076
0.334 0.500 0.924
0.666 0.500 0.076
0.834 0.000 0.924
0.166 0.000 0.584
0.334 0.500 0.416
0.666 0.500 0.584
0.834 0.000 0.416
0.000 0.500 0.241
0.000 0.500 0.759
0.500 0.000 0.241
0.500 0.000 0.759
```

=====

No. 18
Entry from Alexandria: an optimized crystal structure of NiRu2Rh8 (PBE-GGA).

Calculated values
space-group type = Immm (71)
final energy = -81.0 eV for the cell shown
M_tot = 0.00 Bohr magnetons per cell

Geometry as POSCAR:
```
NiRu2Rh8
1.0
-2.126 2.930 6.355
2.126 -2.930 6.355
2.126 2.930 -6.355
Ni Ru Rh
1 2 8
Direct
0.000 0.000 0.000
0.304 0.304 0.000
0.696 0.696 0.000
0.143 0.863 0.280
0.173 0.673 0.500
0.279 0.500 0.779
0.417 0.137 0.280
0.583 0.863 0.720
0.721 0.500 0.221
0.827 0.327 0.500
0.857 0.137 0.720
```

=====

No. 19
Entry from Alexandria: an optimized crystal structure of NiRu2Rh8 (PBE-GGA).

Calculated values
space-group type = C2/m (12)
final energy = -78.4 eV for the cell shown
M_tot = 0.09 Bohr magnetons per cell

Geometry as POSCAR:
```
NiRu2Rh8
1.0
3.784 -5.240 0.000
3.784 5.240 0.000
-1.033 0.000 4.226
Ni Ru Rh
1 2 8
Direct
0.000 0.000 0.000
0.341 0.659 0.500
0.659 0.341 0.500
0.060 0.313 0.582
0.234 0.766 0.000
0.313 0.060 0.582
0.340 0.340 0.122
0.660 0.660 0.878
0.687 0.940 0.418
0.766 0.234 0.000
0.940 0.687 0.418
```

=====

No. 20
Entry from Alexandria: an optimized crystal structure of NiRuRh4 (PBE-GGA).

Calculated values
space-group type = F-43m (216)
final energy = -41.1 eV for the cell shown
M_tot = 2.58 Bohr magnetons per cell

Geometry as POSCAR:
```
NiRuRh4
1.0
0.000 3.561 3.561
3.561 0.000 3.561
3.561 3.561 0.000
Ni Ru Rh
1 1 4
Direct
0.000 0.000 0.000
0.250 0.250 0.250
0.125 0.625 0.625
0.625 0.125 0.625
0.625 0.625 0.125
0.625 0.625 0.625
```

=====

No. 21
Entry from Alexandria: an optimized crystal structure of NiRuRh2 (PBE-GGA).

Calculated values
space-group type = R-3m (166)
final energy = -88.1 eV for the cell shown
M_tot = 2.89 Bohr magnetons per cell

Geometry as POSCAR:
```
NiRuRh2
1.0
2.704 0.000 0.000
-1.352 2.342 0.000
0.000 0.000 25.659
Ni Ru Rh
3 3 6
Direct
0.000 0.000 0.000
0.333 0.667 0.667
0.667 0.333 0.333
0.000 0.000 0.500
0.333 0.667 0.167
0.667 0.333 0.833
0.000 0.000 0.251
0.000 0.000 0.749
0.333 0.667 0.415
0.333 0.667 0.918
0.667 0.333 0.082
0.667 0.333 0.585
```

=====

No. 22
Entry from Alexandria: an optimized crystal structure of Ni2RuRh (PBE-GGA).

Calculated values
space-group type = Cmcm (63)
final energy = -108.5 eV for the cell shown
M_tot = 0.00 Bohr magnetons per cell

Geometry as POSCAR:
```
Ni2RuRh
1.0
3.688 0.000 0.000
0.000 15.393 0.000
0.000 0.000 3.695
Ni Ru Rh
8 4 4
Direct
0.000 0.055 0.250
0.000 0.444 0.250
0.000 0.556 0.750
0.000 0.945 0.750
0.500 0.056 0.750
0.500 0.445 0.750
0.500 0.555 0.250
0.500 0.944 0.250
0.000 0.169 0.750
0.000 0.831 0.250
0.500 0.331 0.250
0.500 0.669 0.750
0.000 0.327 0.750
0.000 0.673 0.250
0.500 0.173 0.250
0.500 0.827 0.750
```

=====

No. 23
Entry from Alexandria: an optimized crystal structure of Ni2RuRh (PBE-GGA).

Calculated values
space-group type = I-42d (122)
final energy = -103.0 eV for the cell shown
M_tot = 0.00 Bohr magnetons per cell

Geometry as POSCAR:
```
Ni2RuRh
1.0
6.551 0.000 0.000
0.000 6.551 0.000
0.000 0.000 5.121
Ni Ru Rh
8 4 4
Direct
0.241 0.250 0.125
0.250 0.741 0.375
0.250 0.759 0.875
0.259 0.250 0.625
0.741 0.750 0.625
0.750 0.241 0.875
0.750 0.259 0.375
0.759 0.750 0.125
0.000 0.000 0.000
0.000 0.500 0.250
0.500 0.000 0.750
0.500 0.500 0.500
0.000 0.000 0.500
0.000 0.500 0.750
0.500 0.000 0.250
0.500 0.500 0.000
```

=====

No. 24
Entry from Alexandria: an optimized crystal structure of Ni2RuRh (PBE-GGA).

Calculated values
space-group type = R-3m (166)
final energy = -82.9 eV for the cell shown
M_tot = 5.22 Bohr magnetons per cell

Geometry as POSCAR:
```
Ni2RuRh
1.0
2.649 0.000 0.000
-1.325 2.294 0.000
0.000 0.000 25.218
Ni Ru Rh
6 3 3
Direct
0.000 0.000 0.249
0.000 0.000 0.751
0.333 0.667 0.418
0.333 0.667 0.916
0.667 0.333 0.084
0.667 0.333 0.582
0.000 0.000 0.500
0.333 0.667 0.167
0.667 0.333 0.833
0.000 0.000 0.000
0.333 0.667 0.667
0.667 0.333 0.333
```

=====

No. 25
Entry from Alexandria: an optimized crystal structure of Ni2RuRh (PBE-GGA).

Calculated values
space-group type = I4/mmm (139)
final energy = -55.5 eV for the cell shown
M_tot = 0.00 Bohr magnetons per cell

Geometry as POSCAR:
```
Ni2RuRh
1.0
3.727 0.000 0.000
0.000 3.727 0.000
0.000 0.000 7.228
Ni Ru Rh
4 2 2
Direct
0.000 0.500 0.250
0.000 0.500 0.750
0.500 0.000 0.250
0.500 0.000 0.750
0.000 0.000 0.000
0.500 0.500 0.500
0.000 0.000 0.500
0.500 0.500 0.000
```